No. 1
First-principles (GGA-PBE) data for crystalline LiTiH3 at its relaxed geometry, as listed in Alexandria.

Cell and atoms, written as CIF:
```
data_LiTiH3
_cell_length_a 3.231
_cell_length_b 3.231
_cell_length_c 3.231
_cell_angle_alpha 90.00
_cell_angle_beta 90.00
_cell_angle_gamma 90.00
_symmetry_space_group_name_H-M 'P 1'
_symmetry_Int_Tables_number 1
loop_
_symmetry_equiv_pos_as_xyz
'x,y,z'
loop_
_atom_site_label
_atom_site_type_symbol
_atom_site_fract_x
_atom_site_fract_y
_atom_site_fract_z
Li1 Li 0.000 0.000 0.000
Ti1 Ti 0.500 0.500 0.500
H1 H 0.000 0.000 0.500
H2 H 0.000 0.500 0.000
H3 H 0.500 0.000 0.000
```

space group = Pm-3m, No. 221
final energy = -4.0212 eV/atom


No. 2
First-principles (GGA-PBE) data for crystalline CuPbCl2 at its relaxed geometry, as listed in Alexandria.

Cell and atoms, written as CIF:
```
data_CuPbCl2
_cell_length_a 3.660
_cell_length_b 3.660
_cell_length_c 8.451
_cell_angle_alpha 90.00
_cell_angle_beta 90.00
_cell_angle_gamma 123.34
_symmetry_space_group_name_H-M 'P 1'
_symmetry_Int_Tables_number 1
loop_
_symmetry_equiv_pos_as_xyz
'x,y,z'
loop_
_atom_site_label
_atom_site_type_symbol
_atom_site_fract_x
_atom_site_fract_y
_atom_site_fract_z
Cu1 Cu 0.000 0.000 0.000
Pb1 Pb 0.000 0.000 0.500
Cl1 Cl 0.500 0.500 0.192
Cl2 Cl 0.500 0.500 0.808
```

raw formation energy = -444 meV per atom
space group = Cmmm, No. 65


No. 3
First-principles (GGA-PBE) data for crystalline Ca2Ga4SnPd3 at its relaxed geometry, as listed in Alexandria.

Cell and atoms, written as CIF:
```
data_Ca2Ga4SnPd3
_cell_length_a 4.199
_cell_length_b 4.199
_cell_length_c 11.467
_cell_angle_alpha 90.00
_cell_angle_beta 90.00
_cell_angle_gamma 90.00
_symmetry_space_group_name_H-M 'P 1'
_symmetry_Int_Tables_number 1
loop_
_symmetry_equiv_pos_as_xyz
'x,y,z'
loop_
_atom_site_label
_atom_site_type_symbol
_atom_site_fract_x
_atom_site_fract_y
_atom_site_fract_z
Ca1 Ca 0.000 0.500 0.239
Ca2 Ca 0.500 0.000 0.761
Ga1 Ga 0.000 0.000 0.000
Ga2 Ga 0.000 0.500 0.652
Ga3 Ga 0.500 0.000 0.348
Ga4 Ga 0.500 0.500 0.000
Sn1 Sn 0.000 0.000 0.500
Pd1 Pd 0.000 0.500 0.870
Pd2 Pd 0.500 0.000 0.130
Pd3 Pd 0.500 0.500 0.500
```

space group = P-4m2, No. 115
final energy = -4.2109 eV/atom


No. 4
First-principles (GGA-PBE) data for crystalline YPuTcAg at its relaxed geometry, as listed in Alexandria.

Cell and atoms, written as CIF:
```
data_YPuTcAg
_cell_length_a 4.973
_cell_length_b 4.973
_cell_length_c 4.973
_cell_angle_alpha 60.00
_cell_angle_beta 60.00
_cell_angle_gamma 60.00
_symmetry_space_group_name_H-M 'P 1'
_symmetry_Int_Tables_number 1
loop_
_symmetry_equiv_pos_as_xyz
'x,y,z'
loop_
_atom_site_label
_atom_site_type_symbol
_atom_site_fract_x
_atom_site_fract_y
_atom_site_fract_z
Y1 Y 0.000 0.000 0.000
Pu1 Pu 0.500 0.500 0.500
Tc1 Tc 0.250 0.250 0.250
Ag1 Ag 0.750 0.750 0.750
```

space group = F-43m, No. 216
final energy = -8.4304 eV/atom


No. 5
First-principles (GGA-PBE) data for crystalline CaAc2Ni9 at its relaxed geometry, as listed in Alexandria.

Cell and atoms, written as CIF:
```
data_CaAc2Ni9
_cell_length_a 8.930
_cell_length_b 8.930
_cell_length_c 8.930
_cell_angle_alpha 33.25
_cell_angle_beta 33.25
_cell_angle_gamma 33.25
_symmetry_space_group_name_H-M 'P 1'
_symmetry_Int_Tables_number 1
loop_
_symmetry_equiv_pos_as_xyz
'x,y,z'
loop_
_atom_site_label
_atom_site_type_symbol
_atom_site_fract_x
_atom_site_fract_y
_atom_site_fract_z
Ca1 Ca 0.000 0.000 0.000
Ac1 Ac 0.135 0.135 0.135
Ac2 Ac 0.865 0.865 0.865
Ni1 Ni 0.079 0.577 0.577
Ni2 Ni 0.332 0.332 0.332
Ni3 Ni 0.423 0.423 0.921
Ni4 Ni 0.423 0.921 0.423
Ni5 Ni 0.500 0.500 0.500
Ni6 Ni 0.577 0.079 0.577
Ni7 Ni 0.577 0.577 0.079
Ni8 Ni 0.668 0.668 0.668
Ni9 Ni 0.921 0.423 0.423
```

space group = R-3m, No. 166
final energy = -5.3534 eV/atom


No. 6
First-principles (GGA-PBE) data for crystalline Mg6Pb5 at its relaxed geometry, as listed in Alexandria.

Cell and atoms, written as CIF:
```
data_Mg6Pb5
_cell_length_a 5.318
_cell_length_b 7.197
_cell_length_c 8.151
_cell_angle_alpha 90.00
_cell_angle_beta 107.65
_cell_angle_gamma 90.00
_symmetry_space_group_name_H-M 'P 1'
_symmetry_Int_Tables_number 1
loop_
_symmetry_equiv_pos_as_xyz
'x,y,z'
loop_
_atom_site_label
_atom_site_type_symbol
_atom_site_fract_x
_atom_site_fract_y
_atom_site_fract_z
Mg1 Mg 0.000 0.246 0.000
Mg2 Mg 0.000 0.754 0.000
Mg3 Mg 0.344 0.226 0.692
Mg4 Mg 0.344 0.774 0.692
Mg5 Mg 0.656 0.226 0.308
Mg6 Mg 0.656 0.774 0.308
Pb1 Pb 0.161 0.000 0.321
Pb2 Pb 0.178 0.500 0.346
Pb3 Pb 0.500 0.500 0.000
Pb4 Pb 0.822 0.500 0.654
Pb5 Pb 0.839 0.000 0.679
```

space group = P2/m, No. 10
final energy = -2.5706 eV/atom


One value per record, in order, for total magnetization: 0.506; 0.000; 0.000; 4.575; 1.676; 0.000 μB/f.u..